# 1
The following is a DFT calculation (PBE-GGA) of a relaxed NbZn2Ir2 crystal.

a = 7.263 Å, b = 7.263 Å, c = 2.857 Å
α = 90.00°, β = 90.00°, γ = 90.00°
Space group P4/mbm (No. 127)
Asymmetric unit:
Nb: 0.000 0.000 0.000
Zn: 0.117 0.383 0.000
Ir: 0.183 0.683 0.500

Raw total energy   -6.2474 eV/atom
Distance to the lowest polymorph of the same formula   122 meV per atom
Energy of formation   -0.18 eV per atom
Fermi-level density of states   7.074 states/eV/cell

=====

# 2
The following is a DFT calculation (PBE-GGA) of a relaxed Nb4Zn5Ir2 crystal.

a = 13.999 Å, b = 4.982 Å, c = 5.449 Å
α = 90.00°, β = 112.53°, γ = 90.00°
Space group C2/m (No. 12)
Asymmetric unit:
Nb: 0.117 0.000 0.229
Nb: 0.231 0.500 0.101
Zn: 0.000 0.500 0.000
Zn: 0.072 0.240 0.718
Ir: 0.184 0.500 0.515

Raw total energy   -5.9860 eV/atom
Energy of formation   -0.13 eV per atom
Fermi-level density of states   15.086 states/eV/cell

=====

# 3
The following is a DFT calculation (PBE-GGA) of a relaxed NbZnIr crystal.

a = 3.246 Å, b = 3.246 Å, c = 8.952 Å
α = 90.00°, β = 90.00°, γ = 90.00°
Space group I4mm (No. 107)
Asymmetric unit:
Nb: 0.000 0.000 0.000
Zn: 0.000 0.000 0.321
Ir: 0.000 0.000 0.660

Raw total energy   -7.0037 eV/atom
Energy of formation   -0.27 eV per atom
Fermi-level density of states   5.092 states/eV/cell

=====

# 4
The following is a DFT calculation (PBE-GGA) of a relaxed NbZnIr3 crystal.

a = 4.774 Å, b = 4.774 Å, c = 4.774 Å
α = 90.00°, β = 90.00°, γ = 90.00°
Space group Pm-3m (No. 221)
Asymmetric unit:
Nb: 0.000 0.000 0.000
Zn: 0.500 0.500 0.500
Ir: 0.000 0.000 0.500

Raw total energy   -6.0943 eV/atom
Distance to the lowest polymorph of the same formula   365 meV per atom
Energy of formation   1.49 eV per atom
Fermi-level density of states   1.246 states/eV/cell